A plane-wave DFT calculation with PBE was carried out for TbEr6Mg after structural relaxation.

The structure belongs to space group C2/m (No. 12); the cell edges are 10.984, 4.960 and 9.795 Å and the angles 90.00°, 116.45° and 90.00°. The inequivalent atoms are Tb at (0.000, 0.000, 0.000), Er at (0.002, 0.500, 0.749), Er at (0.246, 0.000, 0.376), Er at (0.250, 0.000, 0.873) and Mg at (0.000, 0.000, 0.500).

The calculation puts the density of states at the Fermi level at 25.167 states/eV per cell. The value obtained for the total energy is -4.168 eV/atom. The calculation puts the energy above the most stable polymorph in this dataset at 0 meV per atom. Its calculated formation energy is 31.8 meV/atom. The magnetization comes out at 0.0 μB/f.u.